1.
# H12AuN3

An optimized crystal structure of H12AuN3 (PBE, the Alexandria database).

Properties
DOS(E_F) ... 0.1188 states/eV/atom
VASP energy ... -4.35 eV/atom
Magnetization ... 0.00 μB per atom
Density ... 2.3 g/cm3

Unit cell a=8.4137 b=8.4137 c=17.7656 alpha=90.00 beta=90.00 gamma=120.00
With the nearest neighbours (Å) after each atom.
Space group R3c (No. 161, hexagonal axes)
One atom of each set of equivalent atoms:
1 H 0.0650 0.2367 0.0000  1 N 1.05
2 H 0.0735 0.3854 0.3448  1 N 1.07
3 H 0.1501 0.4511 0.9586  1 N 1.06
4 H 0.1575 0.4316 0.0544  1 N 1.05
5 Au 0.0000 0.0000 0.1950  6 H 2.30-2.42
6 N 0.0807 0.3679 0.0061  4 H 1.05-1.07


2.
# RbBa2LaRu

An optimized crystal structure of RbBa2LaRu (PBE, the Alexandria database).

Properties
DOS(E_F) ... 1.1960 states/eV/atom
VASP energy ... -3.67 eV/atom
Magnetization ... 0.00 μB per atom
Formation energy from the elements ... 0.1319 eV/atom
Density ... 4.3 g/cm3

Unit cell a=6.6369 b=6.6369 c=5.2437 alpha=90.00 beta=90.00 gamma=90.00
With the nearest neighbours (Å) after each atom.
Space group P4/mmm (No. 123)
One atom of each set of equivalent atoms:
1 Rb 0.0000 0.0000 0.0000  8 Ba 4.23, 4 La 4.69
2 Ba 0.0000 0.5000 0.5000  2 Ru 3.32
3 La 0.5000 0.5000 0.0000  2 Ru 2.62
4 Ru 0.5000 0.5000 0.5000  2 La 2.62